Record 1
This record from Alexandria via LeMat-Bulk describes Sr3SiSb3 after structural relaxation. The functional is PBE-GGA.

It has space group Pnma (No. 62), with a = 13.088 Å, b = 4.954 Å, c = 14.658 Å, α = 90.00°, β = 90.00° and γ = 90.00°. The inequivalent atoms are Sr at (0.064, 0.250, 0.105), Sr at (0.140, 0.750, 0.480), Sr at (0.218, 0.750, 0.772), Si at (0.061, 0.250, 0.696), Sb at (0.027, 0.250, 0.338), Sb at (0.109, 0.250, 0.880) and Sb at (0.243, 0.250, 0.609).

The calculation puts the uncorrected formation energy at -0.731 eV/atom.

Record 2
This record from Alexandria via LeMat-Bulk describes YTl2As after structural relaxation. The functional is PBE-GGA.

It has space group I-4m2 (No. 119), with a = 4.612 Å, b = 4.612 Å, c = 9.512 Å, α = 90.00°, β = 90.00° and γ = 90.00°. The inequivalent atoms are Y at (0.000, 0.000, 0.000), Tl at (0.000, 0.000, 0.500), Tl at (0.000, 0.500, 0.250) and As at (0.000, 0.500, 0.750).

The value obtained for the calculated formation energy is -0.33 eV/atom. For the energy above the lowest structure with this stoichiometry, the calculation gives 175 meV/atom.

Record 3
This record from Alexandria via LeMat-Bulk describes TbPr2Dy6Y3 after structural relaxation. The functional is PBE-GGA.

It has space group C2/m (No. 12), with a = 6.206 Å, b = 10.741 Å, c = 11.860 Å, α = 90.00°, β = 100.00° and γ = 90.00°. The inequivalent atoms are Tb at (0.000, 0.000, 0.000), Pr at (0.000, 0.333, 0.000), Dy at (0.248, 0.000, 0.748), Dy at (0.249, 0.334, 0.748), Y at (0.000, 0.166, 0.500) and Y at (0.000, 0.500, 0.500).

The value obtained for the calculated formation energy is 0.02 eV/atom.

Record 4
This record from Alexandria via LeMat-Bulk describes DyPdCl6 after structural relaxation. The functional is PBE-GGA.

It has space group P-1 (No. 2), with a = 6.287 Å, b = 6.341 Å, c = 6.789 Å, α = 62.29°, β = 89.71° and γ = 62.83°. The inequivalent atoms are Dy at (0.000, 0.000, 0.000), Pd at (0.500, 0.000, 0.500), Cl at (0.097, 0.491, 0.251), Cl at (0.274, 0.828, 0.741) and Cl at (0.423, 0.847, 0.264).

The calculation puts the uncorrected formation energy at -1.216 eV/atom.

Record 5
This record from Alexandria via LeMat-Bulk describes CrCuSi2 after structural relaxation. The functional is PBE-GGA.

It has space group P4/mmm (No. 123), with a = 2.590 Å, b = 2.590 Å, c = 7.547 Å, α = 90.00°, β = 90.00° and γ = 90.00°. The inequivalent atoms are Cr at (0.000, 0.000, 0.000), Cu at (0.000, 0.000, 0.500) and Si at (0.500, 0.500, 0.235).

The calculation puts the uncorrected formation energy at 0.121 eV/atom.

Record 6
This record from Alexandria via LeMat-Bulk describes TbInCo after structural relaxation. The functional is PBE-GGA.

It has space group I4mm (No. 107), with a = 3.283 Å, b = 3.283 Å, c = 11.288 Å, α = 90.00°, β = 90.00° and γ = 90.00°. The inequivalent atoms are Tb at (0.000, 0.000, 0.000), In at (0.000, 0.000, 0.718) and Co at (0.000, 0.000, 0.349).

The value obtained for the calculated formation energy is -0.15 eV/atom.

Record 7
This record from Alexandria via LeMat-Bulk describes NaIn3Cu after structural relaxation. The functional is PBE-GGA.

It has space group Pm-3m (No. 221), with a = 5.161 Å, b = 5.161 Å, c = 5.161 Å, α = 90.00°, β = 90.00° and γ = 90.00°. The inequivalent atoms are Na at (0.000, 0.000, 0.000), In at (0.000, 0.500, 0.500) and Cu at (0.500, 0.500, 0.500).

The value obtained for the calculated formation energy is 0.07 eV/atom. For the energy above the lowest structure with this stoichiometry, the calculation gives 120 meV/atom.

Record 8
This record from Alexandria via LeMat-Bulk describes MgCdSb after structural relaxation. The functional is PBE-GGA.

It has space group F-43m (No. 216), with a = 6.849 Å, b = 6.849 Å, c = 6.849 Å, α = 90.00°, β = 90.00° and γ = 90.00°. The inequivalent atoms are Mg at (0.000, 0.000, 0.000), Cd at (0.250, 0.250, 0.750) and Sb at (0.250, 0.250, 0.250).

The calculation puts the uncorrected formation energy at -0.071 eV/atom. For the energy above the lowest structure with this stoichiometry, the calculation gives 58 meV/atom.

Record 9
This record from Alexandria via LeMat-Bulk describes PrLuPu2 after structural relaxation. The functional is PBE-GGA.

It has space group P4/mmm (No. 123), with a = 3.429 Å, b = 3.429 Å, c = 10.150 Å, α = 90.00°, β = 90.00° and γ = 90.00°. The inequivalent atoms are Pr at (0.000, 0.000, 0.000), Lu at (0.000, 0.000, 0.500) and Pu at (0.500, 0.500, 0.259).

The value obtained for the calculated formation energy is 0.20 eV/atom. For the energy above the lowest structure with this stoichiometry, the calculation gives 0 meV/atom.

Record 10
This record from Alexandria via LeMat-Bulk describes Zr2ScTlH after structural relaxation. The functional is PBE-GGA.

It has space group P4/mmm (No. 123), with a = 4.469 Å, b = 4.469 Å, c = 4.541 Å, α = 90.00°, β = 90.00° and γ = 90.00°. The inequivalent atoms are Zr at (0.000, 0.500, 0.000), Sc at (0.000, 0.000, 0.500), Tl at (0.500, 0.500, 0.500) and H at (0.000, 0.000, 0.000).

For the energy above the lowest structure with this stoichiometry, the calculation gives 0 meV/atom.

Record 11
This record from Alexandria via LeMat-Bulk describes ZnAg2HRh after structural relaxation. The functional is PBE-GGA.

It has space group P4/mmm (No. 123), with a = 4.178 Å, b = 4.178 Å, c = 3.818 Å, α = 90.00°, β = 90.00° and γ = 90.00°. The inequivalent atoms are Zn at (0.000, 0.000, 0.000), Ag at (0.000, 0.500, 0.500), H at (0.500, 0.500, 0.500) and Rh at (0.500, 0.500, 0.000).

The calculation puts the raw total energy at -17.7 eV/f.u.

Record 12
This record from Alexandria via LeMat-Bulk describes Tb2Ga5Ru2Rh after structural relaxation. The functional is PBE-GGA.

It has space group P4/mbm (No. 127), with a = 10.532 Å, b = 10.532 Å, c = 3.184 Å, α = 90.00°, β = 90.00° and γ = 90.00°. The inequivalent atoms are Tb at (0.182, 0.318, 0.000), Ga at (0.000, 0.500, 0.500), Ga at (0.054, 0.809, 0.500), Ru at (0.129, 0.629, 0.000) and Rh at (0.000, 0.000, 0.000).

The value obtained for the calculated formation energy is -0.45 eV/atom.

Record 13
This record from Alexandria via LeMat-Bulk describes Pm5AsS5 after structural relaxation. The functional is PBE-GGA.

It has space group C2/m (No. 12), with a = 12.872 Å, b = 5.753 Å, c = 8.162 Å, α = 90.00°, β = 108.45° and γ = 90.00°. The inequivalent atoms are Pm at (0.000, 0.000, 0.000), Pm at (0.162, 0.500, 0.823), Pm at (0.166, 0.500, 0.339), As at (0.000, 0.500, 0.000), S at (0.000, 0.500, 0.500), S at (0.169, 0.000, 0.331) and S at (0.173, 0.000, 0.842).

The calculation puts the uncorrected formation energy at -1.963 eV/atom.

Record 14
This record from Alexandria via LeMat-Bulk describes TiCdBi after structural relaxation. The functional is PBE-GGA.

It has space group I4mm (No. 107), with a = 3.189 Å, b = 3.189 Å, c = 14.595 Å, α = 90.00°, β = 90.00° and γ = 90.00°. The inequivalent atoms are Ti at (0.000, 0.000, 0.000), Cd at (0.000, 0.000, 0.369) and Bi at (0.000, 0.000, 0.649).

The value obtained for the calculated formation energy is 0.09 eV/atom. For the energy above the lowest structure with this stoichiometry, the calculation gives 0 meV/atom.

Record 15
This record from Alexandria via LeMat-Bulk describes Ca2LaRe after structural relaxation. The functional is PBE-GGA.

It has space group P4mm (No. 99), with a = 3.604 Å, b = 3.604 Å, c = 9.382 Å, α = 90.00°, β = 90.00° and γ = 90.00°. The inequivalent atoms are Ca at (0.000, 0.000, 0.000), Ca at (0.500, 0.500, 0.324), La at (0.000, 0.000, 0.643) and Re at (0.500, 0.500, 0.805).

The value obtained for the calculated formation energy is 0.41 eV/atom. For the energy above the lowest structure with this stoichiometry, the calculation gives 0 meV/atom.

Record 16
This record from Alexandria via LeMat-Bulk describes La3CdIn after structural relaxation. The functional is PBE-GGA.

It has space group P2/m (No. 10), with a = 8.284 Å, b = 3.755 Å, c = 10.970 Å, α = 90.00°, β = 108.67° and γ = 90.00°. The inequivalent atoms are La at (0.032, 0.000, 0.215), La at (0.252, 0.000, 0.552), La at (0.321, 0.000, 0.072), Cd at (0.328, 0.500, 0.817) and In at (0.387, 0.500, 0.343).

The value obtained for the calculated formation energy is -0.24 eV/atom. For the energy above the lowest structure with this stoichiometry, the calculation gives 84 meV/atom.

Record 17
This record from Alexandria via LeMat-Bulk describes K2MnIr after structural relaxation. The functional is PBE-GGA.

It has space group Pmm2 (No. 25), with a = 3.176 Å, b = 3.786 Å, c = 10.075 Å, α = 90.00°, β = 90.00° and γ = 90.00°. The inequivalent atoms are K at (0.000, 0.000, 0.000), K at (0.500, 0.500, 0.422), Mn at (0.000, 0.000, 0.684) and Ir at (0.500, 0.500, 0.747).

The value obtained for the calculated formation energy is 0.43 eV/atom. For the energy above the lowest structure with this stoichiometry, the calculation gives 0 meV/atom.

Record 18
This record from Alexandria via LeMat-Bulk describes SrCa2Ru2 after structural relaxation. The functional is PBE-GGA.

It has space group P4/mbm (No. 127), with a = 7.860 Å, b = 7.860 Å, c = 4.402 Å, α = 90.00°, β = 90.00° and γ = 90.00°. The inequivalent atoms are Sr at (0.000, 0.000, 0.000), Ca at (0.161, 0.339, 0.500) and Ru at (0.108, 0.608, 0.000).

The value obtained for the calculated formation energy is 0.36 eV/atom.

Record 19
This record from Alexandria via LeMat-Bulk describes Li4ZrSb after structural relaxation. The functional is PBE-GGA.

It has space group F-43m (No. 216), with a = 7.552 Å, b = 7.552 Å, c = 7.552 Å, α = 90.00°, β = 90.00° and γ = 90.00°. The inequivalent atoms are Li at (0.124, 0.124, 0.124), Zr at (0.000, 0.000, 0.500) and Sb at (0.250, 0.250, 0.750).

The calculation puts the uncorrected formation energy at 0.033 eV/atom.

Record 20
This record from Alexandria via LeMat-Bulk describes MnTc2Ni after structural relaxation. The functional is PBE-GGA.

It has space group Pmm2 (No. 25), with a = 2.652 Å, b = 4.217 Å, c = 4.552 Å, α = 90.00°, β = 90.00° and γ = 90.00°. The inequivalent atoms are Mn at (0.000, 0.000, 0.000), Tc at (0.500, 0.000, 0.516), Tc at (0.500, 0.500, 0.168) and Ni at (0.000, 0.500, 0.676).

The value obtained for the calculated formation energy is -0.01 eV/atom. For the energy above the lowest structure with this stoichiometry, the calculation gives 0 meV/atom.

Record 21
This record from Alexandria via LeMat-Bulk describes RbSn2Br5 after structural relaxation. The functional is PBE-GGA.

It has space group I4/mcm (No. 140), with a = 8.523 Å, b = 8.523 Å, c = 15.388 Å, α = 90.00°, β = 90.00° and γ = 90.00°. The inequivalent atoms are Rb at (0.000, 0.000, 0.250), Sn at (0.180, 0.320, 0.000), Br at (0.000, 0.000, 0.000) and Br at (0.160, 0.340, 0.370).

The calculation puts the uncorrected formation energy at -1.027 eV/atom. For the energy above the lowest structure with this stoichiometry, the calculation gives 0 meV/atom.

Record 22
This record from Alexandria via LeMat-Bulk describes SmYTh2P4 after structural relaxation. The functional is PBE-GGA.

It has space group P2/m (No. 10), with a = 7.079 Å, b = 4.114 Å, c = 7.126 Å, α = 90.00°, β = 109.67° and γ = 90.00°. The inequivalent atoms are Sm at (0.000, 0.000, 0.000), Y at (0.000, 0.500, 0.500), Th at (0.500, 0.000, 0.500), Th at (0.500, 0.500, 0.000), P at (0.246, 0.000, 0.746) and P at (0.248, 0.500, 0.252).

The value obtained for the calculated formation energy is -1.58 eV/atom.

Record 23
This record from Alexandria via LeMat-Bulk describes KCdOs2 after structural relaxation. The functional is PBE-GGA.

It has space group Pmmm (No. 47), with a = 2.746 Å, b = 4.979 Å, c = 5.424 Å, α = 90.00°, β = 90.00° and γ = 90.00°. The inequivalent atoms are K at (0.000, 0.000, 0.000), Cd at (0.500, 0.500, 0.000), Os at (0.000, 0.500, 0.500) and Os at (0.500, 0.000, 0.500).

The value obtained for the calculated formation energy is 1.24 eV/atom.

Record 24
This record from Alexandria via LeMat-Bulk describes BaHfSnN2 after structural relaxation. The functional is PBE-GGA.

It has space group P4/mmm (No. 123), with a = 4.379 Å, b = 4.379 Å, c = 6.426 Å, α = 90.00°, β = 90.00° and γ = 90.00°. The inequivalent atoms are Ba at (0.000, 0.000, 0.000), Hf at (0.500, 0.500, 0.500), Sn at (0.000, 0.000, 0.500) and N at (0.000, 0.500, 0.000).

The calculation puts the uncorrected formation energy at 1.804 eV/atom.

Record 25
This record from Alexandria via LeMat-Bulk describes SrTcMo after structural relaxation. The functional is PBE-GGA.

It has space group Pm (No. 6), with a = 3.104 Å, b = 4.175 Å, c = 11.121 Å, α = 90.00°, β = 95.40° and γ = 90.00°. The inequivalent atoms are Sr at (0.000, 0.000, 0.000), Sr at (0.447, 0.500, 0.688), Tc at (0.365, 0.000, 0.285), Tc at (0.786, 0.000, 0.498), Mo at (0.061, 0.500, 0.410) and Mo at (0.653, 0.500, 0.198).

The value obtained for the calculated formation energy is 0.48 eV/atom. For the energy above the lowest structure with this stoichiometry, the calculation gives 130 meV/atom.